Record 1
DFT (PBEsol) results for an optimized crystal structure of MgRe3Pb.

Geometry as POSCAR:
```
MgRe3Pb
1.0
-0.105 4.473 2.048
-4.916 -0.025 -0.197
-0.169 -2.051 4.469
Mg Pb Re
1 1 3
Direct
0.500 0.500 0.500 Mg
0.000 0.000 0.000 Pb
0.000 0.500 0.000 Re
0.500 0.000 0.000 Re
0.000 0.000 0.500 Re
```

Volume (Å³/f.u.): 119.1
Crystal system: cubic
Size of the total moment (μB per formula unit): 2.054
Space group: Pm-3m, No. 221
E (eV per cell): -30.23

=====

Record 2
DFT (PBEsol) results for an optimized crystal structure of Li2FeSi.

Geometry as POSCAR:
```
Li2FeSi
1.0
-1.335 -0.814 2.010
0.049 -3.629 -1.909
3.809 -1.055 2.103
Fe Si Li
1 1 2
Direct
0.500 0.000 0.500 Fe
0.000 0.500 0.500 Si
0.242 0.242 0.000 Li
0.758 0.758 0.000 Li
```

Volume (Å³/f.u.): 46.6
Crystal system: monoclinic
Size of the total moment (μB per formula unit): 1.231
E_form (uncorrected) (eV per atom): -0.08
Space group: P2/m, No. 10

=====

Record 3
DFT (PBEsol) results for an optimized crystal structure of BeCu2Si.

Geometry as POSCAR:
```
BeCu2Si
1.0
-1.030 2.491 2.174
0.940 -2.023 2.763
3.258 1.412 -0.074
Be Cu Si
1 2 1
Direct
0.500 0.000 0.000 Be
0.000 0.500 0.000 Cu
0.000 0.000 0.500 Cu
0.500 0.500 0.500 Si
```

Volume (Å³/f.u.): 43.7
Crystal system: tetragonal
Size of the total moment (μB per formula unit): 0.000
E_form (uncorrected) (eV per atom): -0.04
Space group: P4/mmm, No. 123

=====

Record 4
DFT (PBEsol) results for an optimized crystal structure of La3Se.

Geometry as POSCAR:
```
La3Se
1.0
-3.289 -0.005 -1.648
-0.405 -3.564 0.819
-3.784 2.164 7.544
Se La
1 3
Direct
0.500 0.500 0.000 Se
0.000 0.000 0.206 La
0.500 0.500 0.500 La
0.000 0.000 0.794 La
```

Volume (Å³/f.u.): 117.9
Crystal system: tetragonal
Size of the total moment (μB per formula unit): 0.000
E_form (uncorrected) (eV per atom): -0.79
Space group: P4/mmm, No. 123

=====

Record 5
DFT (PBEsol) results for an optimized crystal structure of HRhSeN2.

Geometry as POSCAR:
```
HRhSeN2
1.0
-1.371 -2.965 0.278
3.427 -1.569 0.163
-0.014 0.359 3.755
Rh N Se H
1 2 1 1
Direct
0.500 0.500 0.500 Rh
0.000 0.000 0.500 N
0.000 0.500 0.000 N
0.500 0.000 0.000 Se
0.000 0.000 0.000 H
```

Volume (Å³/f.u.): 46.7
Crystal system: tetragonal
Size of the total moment (μB per formula unit): 0.001
Space group: P4/mmm, No. 123
E (eV per cell): -23.71

=====

Record 6
DFT (PBEsol) results for an optimized crystal structure of LaY2C6.

Geometry as POSCAR:
```
LaY2C6
1.0
3.696 0.000 0.000
-1.848 3.686 -0.003
0.000 -1.481 9.515
C Y La
6 2 1
Direct
0.071 0.143 0.468 C
0.403 0.805 0.781 C
0.597 0.195 0.219 C
0.264 0.528 0.850 C
0.736 0.472 0.150 C
0.929 0.857 0.532 C
0.333 0.665 0.340 Y
0.667 0.335 0.660 Y
0.000 0.000 0.000 La
```

Volume (Å³/f.u.): 129.6
Crystal system: monoclinic
Size of the total moment (μB per formula unit): 0.000
Space group: C2/m, No. 12
E (eV per cell): -78.47

=====

Record 7
DFT (PBEsol) results for an optimized crystal structure of Re2MoCl.

Geometry as POSCAR:
```
Re2MoCl
1.0
2.776 0.010 0.000
-1.274 2.466 0.000
0.000 0.000 8.906
Re Cl Mo
2 1 1
Direct
0.500 0.500 0.759 Re
0.000 0.000 0.000 Re
0.000 0.000 0.486 Cl
0.500 0.500 0.255 Mo
```

Volume (Å³/f.u.): 61.1
Crystal system: orthorhombic
Size of the total moment (μB per formula unit): 0.000
Polymorph energy (0 for the lowest one) (eV/atom): 0.000
E_form (uncorrected) (eV per atom): 0.54
Space group: Cmm2, No. 35

=====

Record 8
DFT (PBEsol) results for an optimized crystal structure of Ca5Ta4O15.

Geometry as POSCAR:
```
Ca5Ta4O15
1.0
-1.013 2.509 4.755
-3.811 -3.203 -2.269
8.537 -18.281 11.466
O Ta Ca
30 8 10
Direct
0.679 0.905 0.596 O
0.733 0.072 0.193 O
0.226 0.321 0.596 O
0.321 0.226 0.904 O
0.500 0.000 0.500 O
0.340 0.072 0.693 O
0.500 0.500 0.000 O
0.774 0.095 0.904 O
0.905 0.226 0.404 O
0.500 0.500 0.500 O
0.928 0.660 0.193 O
0.660 0.733 0.807 O
0.267 0.928 0.807 O
0.340 0.267 0.193 O
0.774 0.679 0.404 O
0.072 0.733 0.307 O
0.000 0.500 0.500 O
0.733 0.660 0.693 O
0.321 0.095 0.404 O
0.500 0.000 0.000 O
0.072 0.340 0.807 O
0.679 0.774 0.096 O
0.095 0.774 0.596 O
0.660 0.928 0.307 O
0.226 0.905 0.096 O
0.905 0.679 0.904 O
0.928 0.267 0.693 O
0.267 0.340 0.307 O
0.095 0.321 0.096 O
0.000 0.500 0.000 O
0.333 0.667 0.053 Ta
0.667 0.333 0.947 Ta
0.333 0.667 0.553 Ta
0.000 0.000 0.157 Ta
0.000 0.000 0.657 Ta
0.667 0.333 0.447 Ta
0.000 0.000 0.343 Ta
0.000 0.000 0.843 Ta
0.333 0.667 0.382 Ca
0.333 0.667 0.732 Ca
0.667 0.333 0.618 Ca
0.000 0.000 0.000 Ca
0.667 0.333 0.118 Ca
0.667 0.333 0.268 Ca
0.667 0.333 0.768 Ca
0.000 0.000 0.500 Ca
0.333 0.667 0.232 Ca
0.333 0.667 0.882 Ca
```

Volume (Å³/f.u.): 300.8
Crystal system: trigonal
Size of the total moment (μB per formula unit): 0.000
Polymorph energy (0 for the lowest one) (eV/atom): 0.000
E_form (uncorrected) (eV per atom): -3.03
Space group: P-3c1, No. 165

=====

Record 9
DFT (PBEsol) results for an optimized crystal structure of KTlAg2.

Geometry as POSCAR:
```
KTlAg2
1.0
-2.226 -3.840 1.621
2.712 -0.293 -3.858
3.617 0.195 5.429
K Tl Ag
1 1 2
Direct
0.494 0.987 0.481 K
0.293 0.586 0.879 Tl
0.020 0.041 0.061 Ag
0.693 0.386 0.078 Ag
```

Volume (Å³/f.u.): 114.6
Crystal system: monoclinic
Size of the total moment (μB per formula unit): 0.000
Polymorph energy (0 for the lowest one) (eV/atom): 0.000
Space group: Cm, No. 8

=====

Record 10
DFT (PBEsol) results for an optimized crystal structure of Li2ZrMn.

Geometry as POSCAR:
```
Li2ZrMn
1.0
3.431 0.000 0.000
0.000 3.431 0.000
0.000 0.000 5.352
Zr Li Mn
1 2 1
Direct
0.500 0.500 0.500 Zr
0.000 0.000 0.784 Li
0.000 0.000 0.216 Li
0.500 0.500 0.000 Mn
```

Volume (Å³/f.u.): 63.0
Crystal system: tetragonal
Size of the total moment (μB per formula unit): 2.151
Polymorph energy (0 for the lowest one) (eV/atom): 0.272
Space group: P4/mmm, No. 123

=====

Record 11
DFT (PBEsol) results for an optimized crystal structure of CdIBr3.

Geometry as POSCAR:
```
CdIBr3
1.0
5.663 0.000 0.000
0.000 5.663 0.000
0.000 0.000 5.663
Br Cd I
3 1 1
Direct
0.000 0.500 0.000 Br
0.000 0.000 0.500 Br
0.500 0.000 0.000 Br
0.500 0.500 0.500 Cd
0.000 0.000 0.000 I
```

Volume (Å³/f.u.): 181.6
Crystal system: cubic
Size of the total moment (μB per formula unit): 0.352
E_form (uncorrected) (eV per atom): 0.16
Space group: Pm-3m, No. 221

=====

Record 12
DFT (PBEsol) results for an optimized crystal structure of TiCuAs2Se.

Geometry as POSCAR:
```
TiCuAs2Se
1.0
4.759 0.000 0.000
0.000 4.813 0.000
0.000 0.000 4.813
As Ti Cu Se
2 1 1 1
Direct
0.000 0.000 0.500 As
0.000 0.500 0.000 As
0.000 0.000 0.000 Ti
0.500 0.500 0.500 Cu
0.500 0.000 0.000 Se
```

Volume (Å³/f.u.): 110.3
Crystal system: tetragonal
Size of the total moment (μB per formula unit): 0.000
E_form (uncorrected) (eV per atom): 0.37
Space group: P4/mmm, No. 123

=====

Which of these has the highest volume?
Ca5Ta4O15